No. 1
Below is an optimized crystal structure of KCaOs2, with properties calculated at the PBE level.

Unit cell a=11.5921 b=2.9500 c=4.7744 alpha=90.00 beta=114.11 gamma=90.00
Last column: nearest neighbours and their distance in Å.
Space group C2/m (No. 12)
Unique sites:
K1 0.0000 0.0000 0.0000 [2 per cell]  4 Ca 2.81, 2 K 2.95, 4 Os 3.11
Ca1 0.0000 0.5000 0.5000 [2 per cell]  4 K 2.81, 4 Os 2.95, 2 Ca 2.95
Os1 0.2409 0.0000 0.7397 [4 per cell]  6 Os 2.80-2.95, 2 Ca 2.95, 2 K 3.11



No. 2
Below is an optimized crystal structure of LaHo2Mg, with properties calculated at the PBE level.

Unit cell a=3.4181 b=3.4181 c=36.5286 alpha=90.00 beta=90.00 gamma=120.00
Last column: nearest neighbours and their distance in Å.
Space group R-3m (No. 166, hexagonal axes)
Unique sites:
La1 0.0000 0.0000 0.0000 [3 per cell]  2 Ho 3.41, 6 La 3.42
Ho1 0.0000 0.0000 0.0934 [6 per cell]  3 Mg 3.33, 1 La 3.41, 6 Ho 3.42
Mg1 0.0000 0.0000 0.5000 [3 per cell]  6 Ho 3.33, 6 Mg 3.42



No. 3
Below is an optimized crystal structure of UAl2Bi, with properties calculated at the PBE level.

Unit cell a=4.4624 b=4.4624 c=4.4779 alpha=90.00 beta=90.00 gamma=90.00
Last column: nearest neighbours and their distance in Å.
Space group P4/mmm (No. 123)
Unique sites:
U1 0.0000 0.0000 0.0000 [1 per cell]  4 Bi 3.16, 8 Al 3.16
Al1 0.0000 0.5000 0.5000 [2 per cell]  4 Al 3.16, 4 Bi 3.16, 4 U 3.16
Bi1 0.5000 0.5000 0.0000 [1 per cell]  4 U 3.16, 8 Al 3.16



Energy of formation from the pure elements / eV per atom: 1.14 0.17 0.02
Density of states at the Fermi level / states/eV/atom: 0.785 1.450 1.635